Record 1
VIr2C PBE optimized geometry; ΔH_f (0 K) = 0.40 eV per atom; SG = I-42d, No. 122; offset from the most stable computed form = 0.0 meV per atom
1.0
-2.528 2.528 4.930
2.528 -2.528 4.930
2.528 2.528 -4.930
V Ir C
2 4 2
direct
0.000 0.000 0.000
0.750 0.250 0.500
0.194 0.625 0.069
0.375 0.444 0.569
0.556 0.125 0.931
0.875 0.806 0.431
0.250 0.750 0.500
0.500 0.500 0.000

---

Record 2
LuSnIr PBE optimized geometry; ΔH_f (0 K) = -0.66 eV per atom; SG = P-6m2, No. 187
1.0
4.640 0.000 0.000
-2.320 4.019 0.000
0.000 0.000 3.291
Lu Sn Ir
1 1 1
direct
0.000 0.000 0.000
0.333 0.667 0.500
0.667 0.333 0.500

---

Record 3
BaMn2Mo PBE optimized geometry; ΔH_f (0 K) = 0.57 eV per atom; SG = R-3m, No. 166; offset from the most stable computed form = 10.9 meV per atom
1.0
2.142 1.237 6.053
-2.142 1.237 6.053
0.000 -2.473 6.053
Ba Mn Mo
1 2 1
direct
0.000 0.000 0.000
0.192 0.192 0.192
0.808 0.808 0.808
0.500 0.500 0.500

---

Record 4
Nd3ThIn2 PBE optimized geometry; ΔH_f (0 K) = -0.31 eV per atom; SG = P4/mmm, No. 123
1.0
3.675 0.000 0.000
0.000 3.675 0.000
0.000 0.000 13.522
Nd Th In
3 1 2
direct
0.000 0.000 0.000
0.000 0.000 0.319
0.000 0.000 0.681
0.500 0.500 0.500
0.500 0.500 0.161
0.500 0.500 0.839

---

Record 5
HgPd2Se PBE optimized geometry; SG = R3m, No. 160; uncorrected formation energy = -0.102 eV per atom
1.0
1.611 0.930 8.137
-1.611 0.930 8.137
0.000 -1.860 8.137
Hg Pd Se
1 2 1
direct
0.000 0.000 0.000
0.577 0.577 0.577
0.757 0.757 0.757
0.167 0.167 0.167

---

Record 6
LaIn2Cl5 PBE optimized geometry; SG = Pnma, No. 62; uncorrected formation energy = -1.627 eV per atom
1.0
13.085 0.000 0.000
0.000 8.943 0.000
0.000 0.000 8.283
La In Cl
4 8 20
direct
0.004 0.250 0.075
0.496 0.750 0.575
0.504 0.250 0.425
0.996 0.750 0.925
0.173 0.003 0.539
0.173 0.497 0.539
0.327 0.503 0.039
0.327 0.997 0.039
0.673 0.003 0.961
0.673 0.497 0.961
0.827 0.503 0.461
0.827 0.997 0.461
0.007 0.250 0.420
0.078 0.543 0.162
0.078 0.957 0.162
0.183 0.250 0.884
0.206 0.750 0.837
0.294 0.250 0.337
0.317 0.750 0.384
0.422 0.043 0.662
0.422 0.457 0.662
0.493 0.750 0.920
0.507 0.250 0.080
0.578 0.543 0.338
0.578 0.957 0.338
0.683 0.250 0.616
0.706 0.750 0.663
0.794 0.250 0.163
0.817 0.750 0.116
0.922 0.043 0.838
0.922 0.457 0.838
0.993 0.750 0.580

---

Record 7
TlRe2Au PBE optimized geometry; ΔH_f (0 K) = 1.02 eV per atom; SG = F-43m, No. 216; offset from the most stable computed form = 618.3 meV per atom
1.0
0.000 3.273 3.273
3.273 0.000 3.273
3.273 3.273 0.000
Tl Re Au
1 2 1
direct
0.000 0.000 0.000
0.250 0.250 0.250
0.500 0.500 0.500
0.750 0.750 0.750

---

Record 8
Pm9Dy11Er4 PBE optimized geometry; ΔH_f (0 K) = 0.05 eV per atom; SG = Cmmm, No. 65
1.0
8.371 -12.751 0.000
8.371 12.751 0.000
0.000 0.000 3.689
Pm Dy Er
9 11 4
direct
0.000 0.000 0.000
0.129 0.664 0.000
0.286 0.434 0.000
0.336 0.871 0.000
0.434 0.286 0.000
0.566 0.714 0.000
0.664 0.129 0.000
0.714 0.566 0.000
0.871 0.336 0.000
0.095 0.455 0.500
0.132 0.868 0.500
0.210 0.210 0.500
0.338 0.662 0.500
0.455 0.095 0.500
0.500 0.500 0.500
0.545 0.905 0.500
0.662 0.338 0.500
0.790 0.790 0.500
0.868 0.132 0.500
0.905 0.545 0.500
0.056 0.257 0.000
0.257 0.056 0.000
0.743 0.944 0.000
0.944 0.743 0.000